First-principles (PBE) data for a relaxed structure of ReP2RuO, as listed in Alexandria via LeMat-Bulk.

Its total magnetization is 1.5 μB per cell. As for the density of states at the Fermi level: 5.0 states/eV per cell. The value obtained for the formation energy from raw total energies is 0.37 eV per atom. The value obtained for the relative energy among the computed polymorphs is 0.0 meV/atom.

It has space group P4/mmm (No. 123), with a = 4.7241 Å, b = 4.7241 Å, c = 3.6507 Å, α = 90.00°, β = 90.00° and γ = 90.00°. The distinct sites, in fractional coordinates, are Re at (0.0000, 0.0000, 0.0000), P at (0.0000, 0.5000, 0.0000), Ru at (0.5000, 0.5000, 0.5000) and O at (0.0000, 0.0000, 0.5000).